Entry 1:
Material: SiAs2SeCl
Method: DFT, GGA-PBE
State: relaxed

```
SiAs2SeCl
1.0
-0.333 0.792 -4.758
-4.213 -2.370 -0.099
-2.508 4.421 0.911
Se Cl As Si
1 1 2 1
direct
0.000 0.000 0.500
0.000 0.000 0.000
0.000 0.500 0.000
0.500 0.000 0.000
0.500 0.500 0.500
```

- VASP energy (Ha/atom) = -0.104
- total magnetic moment (μB/atom) = 0.0000
- energy relative to the elements, uncorrected (eV/atom) = 1.19
- energy above the lowest structure with this stoichiometry (meV/atom) = 652

Entry 2:
Material: SiAsSe2Cl
Method: DFT, GGA-PBE
State: relaxed

```
SiAsSe2Cl
1.0
4.731 0.000 0.000
0.000 4.731 0.000
0.000 0.000 5.115
As Se Cl Si
1 2 1 1
direct
0.000 0.000 0.500
0.500 0.000 0.000
0.000 0.500 0.000
0.500 0.500 0.500
0.000 0.000 0.000
```

- VASP energy (Ha/atom) = -0.122
- total magnetic moment (μB/atom) = 0.0000
- energy relative to the elements, uncorrected (eV/atom) = 0.46
- energy above the lowest structure with this stoichiometry (meV/atom) = 0

Entry 3:
Material: SiAs2SeCl
Method: DFT, GGA-PBE
State: relaxed

```
SiAs2SeCl
1.0
-1.450 3.004 3.561
-4.038 1.050 -2.530
-2.262 -3.600 2.116
As Cl Se Si
2 1 1 1
direct
0.000 0.500 0.000
0.500 0.000 0.000
0.500 0.500 0.500
0.000 0.000 0.500
0.000 0.000 0.000
```

- VASP energy (Ha/atom) = -0.128
- total magnetic moment (μB/atom) = 0.0000
- energy relative to the elements, uncorrected (eV/atom) = 0.54
- energy above the lowest structure with this stoichiometry (meV/atom) = 0

Entry 4:
Material: Sm6As3Se2Cl
Method: DFT, GGA-PBE
State: relaxed

```
Sm6As3Se2Cl
1.0
-3.632 0.220 2.063
-0.350 -8.393 0.278
6.311 2.126 6.644
Se Sm As Cl
2 6 3 1
direct
0.165 0.330 0.330
0.835 0.670 0.670
0.334 0.410 0.669
0.675 0.081 0.350
0.666 0.590 0.331
0.325 0.919 0.650
0.002 0.732 0.004
0.998 0.268 0.996
0.836 0.166 0.672
0.500 0.500 0.000
0.164 0.834 0.328
0.500 0.000 0.000
```

- VASP energy (Ha/atom) = -0.218
- total magnetic moment (μB/atom) = 0.0000
- energy relative to the elements, uncorrected (eV/atom) = -1.66

Entry 5:
Material: SnAsSe2Cl
Method: DFT, GGA-PBE
State: relaxed

```
SnAsSe2Cl
1.0
5.208 0.000 0.000
0.000 5.208 0.000
0.000 0.000 5.588
As Se Cl Sn
1 2 1 1
direct
0.000 0.000 0.500
0.000 0.500 0.000
0.500 0.000 0.000
0.500 0.500 0.500
0.000 0.000 0.000
```

- VASP energy (Ha/atom) = -0.106
- total magnetic moment (μB/atom) = 0.1127
- energy relative to the elements, uncorrected (eV/atom) = 0.62
- energy above the lowest structure with this stoichiometry (meV/atom) = 0

Entry 6:
Material: Sn3AsSeCl
Method: DFT, GGA-PBE
State: relaxed

```
Sn3AsSeCl
1.0
4.191 0.000 0.000
0.000 9.319 0.558
0.000 -1.762 8.616
As Sn Cl Se
2 6 2 2
direct
0.750 0.322 0.944
0.250 0.678 0.056
0.750 0.858 0.992
0.250 0.484 0.788
0.750 0.516 0.212
0.250 0.804 0.407
0.250 0.142 0.008
0.750 0.196 0.593
0.750 0.656 0.678
0.250 0.344 0.322
0.250 0.027 0.683
0.750 0.973 0.317
```

- VASP energy (Ha/atom) = -0.149
- total magnetic moment (μB/atom) = 0.0000
- energy relative to the elements, uncorrected (eV/atom) = -0.38

Entry 7:
Material: SnAsSe2Cl
Method: DFT, GGA-PBE
State: relaxed

```
SnAsSe2Cl
1.0
5.248 0.000 0.000
0.000 5.248 0.000
0.000 0.000 4.726
Cl As Sn Se
1 1 1 2
direct
0.000 0.000 0.000
0.000 0.000 0.500
0.500 0.500 0.500
0.500 0.000 0.000
0.000 0.500 0.000
```

- VASP energy (Ha/atom) = -0.104
- total magnetic moment (μB/atom) = 0.0000
- energy relative to the elements, uncorrected (eV/atom) = 0.67
- energy above the lowest structure with this stoichiometry (meV/atom) = 58

Entry 8:
Material: SrAsSe2Cl
Method: DFT, GGA-PBE
State: relaxed

```
SrAsSe2Cl
1.0
5.836 0.000 0.000
0.000 5.836 0.000
0.000 0.000 6.095
Sr As Se Cl
1 1 2 1
direct
0.000 0.000 0.000
0.000 0.000 0.500
0.000 0.500 0.000
0.500 0.000 0.000
0.500 0.500 0.500
```

- VASP energy (Ha/atom) = -0.093
- total magnetic moment (μB/atom) = 0.5176
- energy relative to the elements, uncorrected (eV/atom) = 0.51
- energy above the lowest structure with this stoichiometry (meV/atom) = 589